[1]
# Si2NiH

A geometry-optimized Si2NiH structure (PBE, Alexandria via LeMat-Bulk).

Its space-group type is No. 225.

Lattice parameters (Å, degrees): 3.8856 3.8856 3.8856 60.00 60.00 60.00
Fractional coordinates of all 4 atoms:
Si1 0.2500 0.2500 0.2500
Si2 0.7500 0.7500 0.7500
Ni1 0.0000 0.0000 0.0000
H1 0.5000 0.5000 0.5000

***

[2]
# SiNi2H

A geometry-optimized SiNi2H structure (PBE, Alexandria via LeMat-Bulk).

Its space-group type is No. 225.

Lattice parameters (Å, degrees): 3.7986 3.7986 3.7986 60.00 60.00 60.00
Fractional coordinates of all 4 atoms:
Si1 0.0000 0.0000 0.0000
Ni1 0.2500 0.2500 0.2500
Ni2 0.7500 0.7500 0.7500
H1 0.5000 0.5000 0.5000

***

[3]
# SiNi5H

A geometry-optimized SiNi5H structure (PBE, Alexandria via LeMat-Bulk).

Its space-group type is No. 123.

Lattice parameters (Å, degrees): 3.4855 3.4855 5.7872 90.00 90.00 90.00
Fractional coordinates of all 7 atoms:
Si1 0.0000 0.0000 0.0000
Ni1 0.0000 0.5000 0.2967
Ni2 0.0000 0.5000 0.7033
Ni3 0.5000 0.0000 0.2967
Ni4 0.5000 0.0000 0.7033
Ni5 0.5000 0.5000 0.0000
H1 0.5000 0.5000 0.5000

***

Number 1: distance to the lowest polymorph of the same formula 0.000 eV per atom, V 41.5 Å³/cell. Number 2: distance to the lowest polymorph of the same formula 0.304 eV per atom, V 38.8 Å³/cell. Number 3: distance to the lowest polymorph of the same formula 0.000 eV per atom, V 70.3 Å³/cell.